Record 1
This record from Alexandria describes a relaxed K3Ga5Pt6 crystal. The functional is PBE.

CIF file:
```
data_K3Ga5Pt6
_space_group_name_H-M_alt 'P m m n'
_space_group_IT_number 59
_cell_length_a 4.1245
_cell_length_b 12.5616
_cell_length_c 11.3994
_cell_angle_alpha 90.00
_cell_angle_beta 90.00
_cell_angle_gamma 90.00
loop_
_space_group_symop_operation_xyz
'x,y,z'
'-x,-y,-z'
'-x+1/2,-y+1/2,z'
'x+1/2,y+1/2,-z'
'x+1/2,-y,-z'
'-x+1/2,y,z'
'-x,y+1/2,-z'
'x,-y+1/2,z'
loop_
_atom_site_label
_atom_site_type_symbol
_atom_site_fract_x
_atom_site_fract_y
_atom_site_fract_z
_atom_site_occupancy
K1 K 0.2500 0.1132 0.2438 1
K2 K 0.2500 0.7500 0.2382 1
Ga1 Ga 0.2500 0.0677 0.6511 1
Ga2 Ga 0.2500 0.6119 0.9953 1
Ga3 Ga 0.2500 0.7500 0.5838 1
Pt1 Pt 0.2500 0.0611 0.8763 1
Pt2 Pt 0.2500 0.2500 0.5395 1
Pt3 Pt 0.2500 0.2500 0.9946 1
Pt4 Pt 0.2500 0.5758 0.4817 1
```

D(E_F), states/eV/cell: 5.0
Total DFT energy (no corrections), Ry per atom: -0.321
ΔE_f, eV/atom: -0.467

---

Record 2
This record from Alexandria describes a relaxed CsHgRh3 crystal. The functional is PBE.

CIF file:
```
data_CsHgRh3
_space_group_name_H-M_alt 'P m -3 m'
_space_group_IT_number 221
_space_group_name_Hall '-P 4 2 3'
_cell_length_a 5.1578
_cell_length_b 5.1578
_cell_length_c 5.1578
_cell_angle_alpha 90.00
_cell_angle_beta 90.00
_cell_angle_gamma 90.00
loop_
_atom_site_label
_atom_site_type_symbol
_atom_site_fract_x
_atom_site_fract_y
_atom_site_fract_z
_atom_site_occupancy
Cs1 Cs 0.0000 0.0000 0.0000 1
Hg1 Hg 0.5000 0.5000 0.5000 1
Rh1 Rh 0.0000 0.5000 0.5000 1
```

D(E_F), states/eV/cell: 9.4
Total DFT energy (no corrections), Ry per atom: -0.246
ΔE_f, eV/atom: 1.300
E above lowest polymorph, meV per atom: 0.0

---

Record 3
This record from Alexandria describes a relaxed ScNiW2 crystal. The functional is PBE.

CIF file:
```
data_ScNiW2
_space_group_name_H-M_alt 'P 4 m m'
_space_group_IT_number 99
_cell_length_a 3.2151
_cell_length_b 3.2151
_cell_length_c 6.2355
_cell_angle_alpha 90.00
_cell_angle_beta 90.00
_cell_angle_gamma 90.00
loop_
_space_group_symop_operation_xyz
'x,y,z'
'-y,x,z'
'-x,-y,z'
'y,-x,z'
'-x,y,z'
'y,x,z'
'x,-y,z'
'-y,-x,z'
loop_
_atom_site_label
_atom_site_type_symbol
_atom_site_fract_x
_atom_site_fract_y
_atom_site_fract_z
_atom_site_occupancy
Sc1 Sc 0.0000 0.0000 0.0000 1
Ni1 Ni 0.5000 0.5000 0.7504 1
W1 W 0.0000 0.0000 0.5096 1
W2 W 0.5000 0.5000 0.2871 1
```

D(E_F), states/eV/cell: 4.6
Total DFT energy (no corrections), Ry per atom: -0.694
ΔE_f, eV/atom: 0.064
E above lowest polymorph, meV per atom: 0.0

---

Record 4
This record from Alexandria describes a relaxed SrScNF2 crystal. The functional is PBE.

CIF file:
```
data_SrScNF2
_space_group_name_H-M_alt 'P 4/m m m'
_space_group_IT_number 123
_space_group_name_Hall '-P 4 2'
_cell_length_a 4.3598
_cell_length_b 4.3598
_cell_length_c 5.1841
_cell_angle_alpha 90.00
_cell_angle_beta 90.00
_cell_angle_gamma 90.00
loop_
_atom_site_label
_atom_site_type_symbol
_atom_site_fract_x
_atom_site_fract_y
_atom_site_fract_z
_atom_site_occupancy
Sr1 Sr 0.0000 0.0000 0.0000 1
Sc1 Sc 0.5000 0.5000 0.5000 1
N1 N 0.0000 0.0000 0.5000 1
F1 F 0.0000 0.5000 0.0000 1
```

Raw formation energy, meV/atom: -1329.0
D(E_F), states/eV/cell: 1.9
Total DFT energy (no corrections), Ry per atom: -0.393
E above lowest polymorph, meV per atom: 1269.2

---

Record 5
This record from Alexandria describes a relaxed CaFeAg2 crystal. The functional is PBE.

CIF file:
```
data_CaFeAg2
_space_group_name_H-M_alt 'F -4 3 m'
_space_group_IT_number 216
_space_group_name_Hall 'F -4 2 3'
_cell_length_a 6.7822
_cell_length_b 6.7822
_cell_length_c 6.7822
_cell_angle_alpha 90.00
_cell_angle_beta 90.00
_cell_angle_gamma 90.00
loop_
_atom_site_label
_atom_site_type_symbol
_atom_site_fract_x
_atom_site_fract_y
_atom_site_fract_z
_atom_site_occupancy
Ca1 Ca 0.0000 0.0000 0.0000 1
Fe1 Fe 0.2500 0.2500 0.2500 1
Ag1 Ag 0.0000 0.0000 0.5000 1
Ag2 Ag 0.2500 0.2500 0.7500 1
```

D(E_F), states/eV/cell: 23.0
Total DFT energy (no corrections), Ry per atom: -0.275
ΔE_f, eV/atom: 0.295
E above lowest polymorph, meV per atom: 94.0

---

Record 6
This record from Alexandria describes a relaxed GaCo3H crystal. The functional is PBE.

CIF file:
```
data_GaCo3H
_space_group_name_H-M_alt 'A m m 2'
_space_group_IT_number 38
_cell_length_a 2.6459
_cell_length_b 5.2114
_cell_length_c 7.1084
_cell_angle_alpha 90.00
_cell_angle_beta 90.00
_cell_angle_gamma 90.00
loop_
_space_group_symop_operation_xyz
'x,y,z'
'-x,-y,z'
'-x,y,z'
'x,-y,z'
'x,y+1/2,z+1/2'
'-x,-y+1/2,z+1/2'
'-x,y+1/2,z+1/2'
'x,-y+1/2,z+1/2'
loop_
_atom_site_label
_atom_site_type_symbol
_atom_site_fract_x
_atom_site_fract_y
_atom_site_fract_z
_atom_site_occupancy
Ga1 Ga 0.0000 0.0000 0.0000 1
Co1 Co 0.0000 0.0000 0.5279 1
Co2 Co 0.5000 0.2453 0.7494 1
H1 H 0.5000 0.0000 0.3835 1
```

D(E_F), states/eV/cell: 12.8
Total DFT energy (no corrections), Ry per atom: -0.409
E above lowest polymorph, meV per atom: 73.9

---

Record 7
This record from Alexandria describes a relaxed AuBrF2 crystal. The functional is PBE.

CIF file:
```
data_AuBrF2
_space_group_name_H-M_alt 'R -3 m'
_space_group_IT_number 166
_space_group_name_Hall '-R 3 2"'
_cell_length_a 2.9637
_cell_length_b 2.9637
_cell_length_c 28.9837
_cell_angle_alpha 90.00
_cell_angle_beta 90.00
_cell_angle_gamma 120.00
loop_
_atom_site_label
_atom_site_type_symbol
_atom_site_fract_x
_atom_site_fract_y
_atom_site_fract_z
_atom_site_occupancy
Au1 Au 0.0000 0.0000 0.0000 1
Br1 Br 0.0000 0.0000 0.5000 1
F1 F 0.0000 0.0000 0.0672 1
```

Raw formation energy, meV/atom: -388.2
D(E_F), states/eV/cell: 9.6
Total DFT energy (no corrections), Ry per atom: -0.188
E above lowest polymorph, meV per atom: 361.7

---

Record 8
This record from Alexandria describes a relaxed CaTlRh crystal. The functional is PBE.

CIF file:
```
data_CaTlRh
_space_group_name_H-M_alt 'P 3 m 1'
_space_group_IT_number 156
_cell_length_a 3.9553
_cell_length_b 3.9553
_cell_length_c 5.7067
_cell_angle_alpha 90.00
_cell_angle_beta 90.00
_cell_angle_gamma 120.00
loop_
_space_group_symop_operation_xyz
'x,y,z'
'-y,x-y,z'
'-x+y,-x,z'
'-y,-x,z'
'-x+y,y,z'
'x,x-y,z'
loop_
_atom_site_label
_atom_site_type_symbol
_atom_site_fract_x
_atom_site_fract_y
_atom_site_fract_z
_atom_site_occupancy
Ca1 Ca 0.0000 0.0000 0.0000 1
Tl1 Tl 0.3333 0.6667 0.5590 1
Rh1 Rh 0.6667 0.3333 0.3048 1
```

D(E_F), states/eV/cell: 0.4
Total DFT energy (no corrections), Ry per atom: -0.294
ΔE_f, eV/atom: -0.093

---

Record 9
This record from Alexandria describes a relaxed Hf2MgO crystal. The functional is PBE.

CIF file:
```
data_Hf2MgO
_space_group_name_H-M_alt 'R 3 m'
_space_group_IT_number 160
_space_group_name_Hall 'R 3 -2"'
_cell_length_a 3.2557
_cell_length_b 3.2557
_cell_length_c 22.7119
_cell_angle_alpha 90.00
_cell_angle_beta 90.00
_cell_angle_gamma 120.00
loop_
_atom_site_label
_atom_site_type_symbol
_atom_site_fract_x
_atom_site_fract_y
_atom_site_fract_z
_atom_site_occupancy
Hf1 Hf 0.0000 0.0000 0.0000 1
Hf2 Hf 0.0000 0.0000 0.2229 1
Mg1 Mg 0.0000 0.0000 0.4442 1
O1 O 0.0000 0.0000 0.6125 1
```

Raw formation energy, meV/atom: -1079.4
D(E_F), states/eV/cell: 6.7
Total DFT energy (no corrections), Ry per atom: -0.566
E above lowest polymorph, meV per atom: 0.0

---

Record 10
This record from Alexandria describes a relaxed K3Fe2Br8 crystal. The functional is PBE.

CIF file:
```
data_K3Fe2Br8
_space_group_name_H-M_alt 'R -3 m'
_space_group_IT_number 166
_space_group_name_Hall '-R 3 2"'
_cell_length_a 7.6255
_cell_length_b 7.6255
_cell_length_c 27.7180
_cell_angle_alpha 90.00
_cell_angle_beta 90.00
_cell_angle_gamma 120.00
loop_
_atom_site_label
_atom_site_type_symbol
_atom_site_fract_x
_atom_site_fract_y
_atom_site_fract_z
_atom_site_occupancy
K1 K 0.0000 0.0000 0.0000 1
K2 K 0.0000 0.0000 0.2037 1
Fe1 Fe 0.0000 0.0000 0.4063 1
Br1 Br 0.0000 0.0000 0.3207 1
Br2 Br 0.0083 0.5042 0.7687 1
```

Raw formation energy, meV/atom: -1071.4
D(E_F), states/eV/cell: 26.5
Total DFT energy (no corrections), Ry per atom: -0.269

---

Record 11
This record from Alexandria describes a relaxed OsRu3Br crystal. The functional is PBE.

CIF file:
```
data_OsRu3Br
_space_group_name_H-M_alt 'P m -3 m'
_space_group_IT_number 221
_space_group_name_Hall '-P 4 2 3'
_cell_length_a 4.7731
_cell_length_b 4.7731
_cell_length_c 4.7731
_cell_angle_alpha 90.00
_cell_angle_beta 90.00
_cell_angle_gamma 90.00
loop_
_atom_site_label
_atom_site_type_symbol
_atom_site_fract_x
_atom_site_fract_y
_atom_site_fract_z
_atom_site_occupancy
Os1 Os 0.0000 0.0000 0.0000 1
Ru1 Ru 0.0000 0.0000 0.5000 1
Br1 Br 0.5000 0.5000 0.5000 1
```

Raw formation energy, meV/atom: 1798.4
D(E_F), states/eV/cell: 6.9
Total DFT energy (no corrections), Ry per atom: -0.467
E above lowest polymorph, meV per atom: 0.0

---

What did the fifth record say?
This record from Alexandria describes a relaxed CaFeAg2 crystal. The functional is PBE.

CIF file:
```
data_CaFeAg2
_space_group_name_H-M_alt 'F -4 3 m'
_space_group_IT_number 216
_space_group_name_Hall 'F -4 2 3'
_cell_length_a 6.7822
_cell_length_b 6.7822
_cell_length_c 6.7822
_cell_angle_alpha 90.00
_cell_angle_beta 90.00
_cell_angle_gamma 90.00
loop_
_atom_site_label
_atom_site_type_symbol
_atom_site_fract_x
_atom_site_fract_y
_atom_site_fract_z
_atom_site_occupancy
Ca1 Ca 0.0000 0.0000 0.0000 1
Fe1 Fe 0.2500 0.2500 0.2500 1
Ag1 Ag 0.0000 0.0000 0.5000 1
Ag2 Ag 0.2500 0.2500 0.7500 1
```

D(E_F), states/eV/cell: 23.0
Total DFT energy (no corrections), Ry per atom: -0.275
ΔE_f, eV/atom: 0.295
E above lowest polymorph, meV per atom: 94.0

---

What is the formula in the eighth record? CaTlRh

---

What is the formula in the second record? CsHgRh3